Entry from Alexandria: crystalline SiNiW at its relaxed geometry (PBE-GGA). Values from VASP.

Geometry as Quantum ESPRESSO input:
```
&SYSTEM
  ibrav = 0, nat = 18, ntyp = 3
/
ATOMIC_SPECIES
Si 28.09 Si.upf
Ni 58.69 Ni.upf
W 183.84 W.upf
ATOMIC_POSITIONS crystal
Si 0.2279 0.2500 0.0847
Si 0.2289 0.7500 0.4119
Si 0.2703 0.7500 0.7476
Si 0.7297 0.2500 0.2524
Si 0.7711 0.2500 0.5881
Si 0.7721 0.7500 0.9153
Ni 0.0111 0.7500 0.5862
Ni 0.1533 0.7500 0.9582
Ni 0.3620 0.2500 0.2959
Ni 0.6380 0.7500 0.7041
Ni 0.8467 0.2500 0.0418
Ni 0.9889 0.2500 0.4138
W 0.0197 0.7500 0.2093
W 0.3601 0.2500 0.5785
W 0.4746 0.2500 0.8828
W 0.5254 0.7500 0.1172
W 0.6399 0.7500 0.4215
W 0.9803 0.2500 0.7907
CELL_PARAMETERS angstrom
6.1227 0.0000 0.0000
0.0000 3.6085 0.0000
-0.1147 0.0000 10.5107
```

DOS at the Fermi energy   12.132 states/eV/cell
Theoretical density   11.611 g/cm³
Electronic total energy   -0.61539 Ry/atom
SG   P2_1/m (11)
Formation energy without anion corrections   -0.320 eV per atom
Total moment   0.0 μB per cell

---

Entry from Alexandria: crystalline Li3Sc at its relaxed geometry (PBE-GGA). Values from VASP.

Geometry as Quantum ESPRESSO input:
```
&SYSTEM
  ibrav = 0, nat = 16, ntyp = 2
/
ATOMIC_SPECIES
Li 6.94 Li.upf
Sc 44.96 Sc.upf
ATOMIC_POSITIONS crystal
Li 0.0000 0.0465 0.2500
Li 0.0000 0.9535 0.7500
Li 0.1725 0.2713 0.7500
Li 0.1725 0.7287 0.2500
Li 0.3275 0.2287 0.2500
Li 0.3275 0.7713 0.7500
Li 0.5000 0.4535 0.7500
Li 0.5000 0.5465 0.2500
Li 0.6725 0.2287 0.2500
Li 0.6725 0.7713 0.7500
Li 0.8275 0.2713 0.7500
Li 0.8275 0.7287 0.2500
Sc 0.0000 0.4177 0.2500
Sc 0.0000 0.5823 0.7500
Sc 0.5000 0.0823 0.7500
Sc 0.5000 0.9177 0.2500
CELL_PARAMETERS angstrom
7.4233 0.0000 0.0000
0.0000 8.9387 0.0000
0.0000 0.0000 5.2404
```

DOS at the Fermi energy   16.333 states/eV/cell
Theoretical density   1.256 g/cm³
Energy of formation from the pure elements   274 meV/atom
Electronic total energy   -0.20167 Ry/atom
SG   Cmcm (63)
Total moment   0.0 μB per cell

---

Entry from Alexandria: crystalline FeRe8 at its relaxed geometry (PBE-GGA). Values from VASP.

Geometry as Quantum ESPRESSO input:
```
&SYSTEM
  ibrav = 0, nat = 9, ntyp = 2
/
ATOMIC_SPECIES
Fe 55.84 Fe.upf
Re 186.21 Re.upf
ATOMIC_POSITIONS crystal
Fe 0.0000 0.0000 0.0000
Re 0.0000 0.3272 0.3272
Re 0.0000 0.6728 0.6728
Re 0.3272 0.0000 0.3272
Re 0.3378 0.3378 0.6756
Re 0.3378 0.6622 0.0000
Re 0.6622 0.3378 0.0000
Re 0.6622 0.6622 0.3244
Re 0.6728 0.0000 0.6728
CELL_PARAMETERS angstrom
-4.1290 4.1290 1.9315
4.1290 -4.1290 1.9315
4.1290 4.1290 -1.9315
```

DOS at the Fermi energy   9.126 states/eV/cell
Theoretical density   19.484 g/cm³
Energy of formation from the pure elements   85 meV/atom
Electronic total energy   -0.87612 Ry/atom
SG   I4/mmm (139)
Total moment   0.8 μB per cell

---

Entry from Alexandria: crystalline BeCoTe2 at its relaxed geometry (PBE-GGA). Values from VASP.

Geometry as Quantum ESPRESSO input:
```
&SYSTEM
  ibrav = 0, nat = 16, ntyp = 3
/
ATOMIC_SPECIES
Be 9.01 Be.upf
Co 58.93 Co.upf
Te 127.60 Te.upf
ATOMIC_POSITIONS crystal
Be 0.0000 0.0000 0.0000
Be 0.0000 0.5000 0.5000
Be 0.5000 0.0000 0.5000
Be 0.5000 0.5000 0.0000
Co 0.2500 0.2500 0.2500
Co 0.2500 0.7500 0.7500
Co 0.7500 0.2500 0.7500
Co 0.7500 0.7500 0.2500
Te 0.0000 0.0000 0.5000
Te 0.0000 0.5000 0.0000
Te 0.2500 0.2500 0.7500
Te 0.2500 0.7500 0.2500
Te 0.5000 0.0000 0.0000
Te 0.5000 0.5000 0.5000
Te 0.7500 0.2500 0.2500
Te 0.7500 0.7500 0.7500
CELL_PARAMETERS angstrom
6.7894 0.0000 0.0000
0.0000 6.7894 0.0000
0.0000 0.0000 6.7894
```

DOS at the Fermi energy   15.766 states/eV/cell
Theoretical density   6.858 g/cm³
Electronic total energy   -0.24135 Ry/atom
SG   F-43m (216)
Formation energy without anion corrections   0.995 eV per atom
Total moment   4.8 μB per cell

---

Entry from Alexandria: crystalline Ba8AgP3I3 at its relaxed geometry (PBE-GGA). Values from VASP.

Geometry as Quantum ESPRESSO input:
```
&SYSTEM
  ibrav = 0, nat = 15, ntyp = 4
/
ATOMIC_SPECIES
Ba 137.33 Ba.upf
Ag 107.87 Ag.upf
P 30.97 P.upf
I 126.90 I.upf
ATOMIC_POSITIONS crystal
Ba 0.2138 0.7517 0.7517
Ba 0.2352 0.2352 0.2352
Ba 0.2483 0.2483 0.7862
Ba 0.2483 0.7862 0.2483
Ba 0.7517 0.2138 0.7517
Ba 0.7517 0.7517 0.2138
Ba 0.7648 0.7648 0.7648
Ba 0.7862 0.2483 0.2483
Ag 0.5000 0.5000 0.5000
P 0.0000 0.0000 0.5000
P 0.0000 0.5000 0.0000
P 0.5000 0.0000 0.0000
I 0.0000 0.5000 0.5000
I 0.5000 0.0000 0.5000
I 0.5000 0.5000 0.0000
CELL_PARAMETERS angstrom
4.7811 2.7604 8.2121
-4.7811 2.7604 8.2121
0.0000 -5.5208 8.2121
```

DOS at the Fermi energy   6.025 states/eV/cell
Theoretical density   4.290 g/cm³
Electronic total energy   -0.27375 Ry/atom
SG   R-3m (166)
Formation energy without anion corrections   -1.117 eV per atom
Total moment   0.8 μB per cell

---

Entry from Alexandria: crystalline InMo2As at its relaxed geometry (PBE-GGA). Values from VASP.

Geometry as Quantum ESPRESSO input:
```
&SYSTEM
  ibrav = 0, nat = 4, ntyp = 3
/
ATOMIC_SPECIES
In 114.82 In.upf
Mo 95.94 Mo.upf
As 74.92 As.upf
ATOMIC_POSITIONS crystal
In 0.0000 0.0000 0.0000
Mo 0.0000 0.5000 0.5000
Mo 0.5000 0.5000 0.0000
As 0.5000 0.0000 0.5000
CELL_PARAMETERS angstrom
3.3356 0.0000 0.0000
0.0000 4.4098 0.0000
0.0000 0.0000 4.7395
```

DOS at the Fermi energy   4.149 states/eV/cell
Theoretical density   9.090 g/cm³
Energy of formation from the pure elements   462 meV/atom
Electronic total energy   -0.49980 Ry/atom
SG   Pmmm (47)
Total moment   0.0 μB per cell

---

Entry from Alexandria: crystalline K2Na16Li at its relaxed geometry (PBE-GGA). Values from VASP.

Geometry as Quantum ESPRESSO input:
```
&SYSTEM
  ibrav = 0, nat = 19, ntyp = 3
/
ATOMIC_SPECIES
K 39.10 K.upf
Na 22.99 Na.upf
Li 6.94 Li.upf
ATOMIC_POSITIONS crystal
K 0.0000 0.0000 0.0000
K 0.3263 0.3263 0.3263
Na 0.0134 0.0134 0.5235
Na 0.0134 0.5235 0.0134
Na 0.1590 0.6695 0.6695
Na 0.3144 0.3144 0.8163
Na 0.3144 0.8163 0.3144
Na 0.3754 0.6671 0.9580
Na 0.3754 0.9580 0.6671
Na 0.5235 0.0134 0.0134
Na 0.5719 0.5719 0.5719
Na 0.6671 0.3754 0.9580
Na 0.6671 0.9580 0.3754
Na 0.6695 0.1590 0.6695
Na 0.6695 0.6695 0.1590
Na 0.8163 0.3144 0.3144
Na 0.9580 0.3754 0.6671
Na 0.9580 0.6671 0.3754
Li 0.7605 0.7605 0.7605
CELL_PARAMETERS angstrom
6.0824 3.5117 6.0291
-6.0824 3.5117 6.0291
0.0000 -7.0233 6.0291
```

DOS at the Fermi energy   10.368 states/eV/cell
Theoretical density   0.973 g/cm³
Energy of formation from the pure elements   35 meV/atom
Electronic total energy   -0.09493 Ry/atom
SG   R3m (160)
Total moment   0.0 μB per cell

---

Entry from Alexandria: crystalline ScCdAu2 at its relaxed geometry (PBE-GGA). Values from VASP.

Geometry as Quantum ESPRESSO input:
```
&SYSTEM
  ibrav = 0, nat = 12, ntyp = 3
/
ATOMIC_SPECIES
Sc 44.96 Sc.upf
Cd 112.41 Cd.upf
Au 196.97 Au.upf
ATOMIC_POSITIONS crystal
Sc 0.0000 0.0000 0.0000
Sc 0.3333 0.6667 0.6667
Sc 0.6667 0.3333 0.3333
Cd 0.0000 0.0000 0.7612
Cd 0.3333 0.6667 0.4279
Cd 0.6667 0.3333 0.0945
Au 0.0000 0.0000 0.2590
Au 0.0000 0.0000 0.5093
Au 0.3333 0.6667 0.1760
Au 0.3333 0.6667 0.9257
Au 0.6667 0.3333 0.5924
Au 0.6667 0.3333 0.8426
CELL_PARAMETERS angstrom
3.5033 0.0000 0.0000
-1.7516 3.0339 0.0000
0.0000 0.0000 24.6241
```

DOS at the Fermi energy   7.184 states/eV/cell
Theoretical density   10.494 g/cm³
Energy of formation from the pure elements   -231 meV/atom
Electronic total energy   -0.27057 Ry/atom
SG   R3m (160)
Total moment   0.0 μB per cell